Record 1
DFT (GGA-PBE) results for a geometry-optimized BaAgN structure.

a b c (Å): 7.0478 5.8232 6.4472
angles (deg): 90.00 90.00 90.00
Positions (direct):
1 N 0.1772 0.2500 0.5672
2 Ba 0.3327 0.2500 0.1634
3 Ag 0.4546 0.2500 0.6934
4 Ba 0.6673 0.7500 0.8366
5 N 0.3228 0.7500 0.0672
6 Ag 0.5454 0.7500 0.3066
7 Ba 0.1673 0.7500 0.6634
8 Ba 0.8327 0.2500 0.3366
9 Ag 0.9546 0.2500 0.8066
10 N 0.6772 0.2500 0.9328
11 N 0.8228 0.7500 0.4328
12 Ag 0.0454 0.7500 0.1934

## Properties
raw formation energy: -0.041 eV per atom

Record 2
DFT (GGA-PBE) results for a geometry-optimized LiInSi3 structure.

a b c (Å): 5.1995 5.1995 5.1995
angles (deg): 90.00 90.00 90.00
Positions (direct):
1 Si 0.5000 0.0000 0.0000
2 In 0.0000 0.0000 0.0000
3 Si 0.0000 0.0000 0.5000
4 Li 0.5000 0.5000 0.5000
5 Si 0.0000 0.5000 0.0000

## Properties
raw formation energy: 1.122 eV per atom

Record 3
DFT (GGA-PBE) results for a geometry-optimized PmNiAg structure.

a b c (Å): 3.6867 4.4526 4.4526
angles (deg): 120.00 90.00 90.00
Positions (direct):
1 Pm 0.6665 0.6667 0.3333
2 Ni 0.1673 0.0000 0.0000
3 Ag 0.1663 0.3333 0.6667

## Properties
ΔH_f (0 K): -0.59 eV/f.u.

Record 4
DFT (GGA-PBE) results for a geometry-optimized RuRhPb2 structure.

a b c (Å): 5.4381 5.4381 4.5821
angles (deg): 80.96 80.96 35.65
Positions (direct):
1 Pb 0.7475 0.7475 0.6586
2 Ru 0.2709 0.2709 0.1527
3 Pb 0.0018 0.0018 0.0929
4 Rh 0.4798 0.4798 0.5959

## Properties
ΔH_f (0 K): 1.08 eV/f.u.

Record 5
DFT (GGA-PBE) results for a geometry-optimized YFeB2 structure.

a b c (Å): 4.1769 4.1769 6.9656
angles (deg): 72.55 72.55 90.00
Positions (direct):
1 Y 0.7500 0.2500 0.5000
2 B 0.3750 0.6250 0.7500
3 B 0.8750 0.6250 0.7500
4 B 0.3750 0.1250 0.2500
5 Fe 0.5000 0.5000 0.0000
6 Y 0.0000 0.0000 0.0000
7 Fe 0.2500 0.7500 0.5000
8 B 0.3750 0.6250 0.2500

## Properties
ΔH_f (0 K): -0.96 eV/f.u.

Record 6
DFT (GGA-PBE) results for a geometry-optimized YHo2Rh2 structure.

a b c (Å): 3.7828 4.6371 13.2394
angles (deg): 90.00 98.21 90.00
Positions (direct):
1 Ho 0.9481 0.7500 0.8962
2 Ho 0.7352 0.2500 0.4704
3 Rh 0.4677 0.2500 0.9354
4 Ho 0.0519 0.2500 0.1038
5 Rh 0.8390 0.7500 0.6780
6 Rh 0.1610 0.2500 0.3220
7 Ho 0.2648 0.7500 0.5296
8 Y 0.6372 0.7500 0.2744
9 Rh 0.5323 0.7500 0.0646
10 Y 0.3628 0.2500 0.7256

## Properties
ΔH_f (0 K): -3.13 eV/f.u.

The calculation returns the following N(E_F) values, one per record and in order: 0.000, 0.654, 0.519, 0.607, 0.431, 0.710 states/eV/atom.